Entry 1:
This record from the Alexandria database describes crystalline Tb3Sm8Tl at its relaxed geometry. The functional is PBE.

Results
Fermi-level density of states ... 17.0 states/eV/f.u.
Electronic total energy ... -48.26 eV per cell
ΔE_f ... 0.479 eV per atom

Cell and atoms, written as POSCAR:
```
Tb3Sm8Tl
1.0
-5.4958 -4.8859 -4.0808
8.1624 -1.9362 -0.5966
-0.0305 -0.2400 8.4066
Tl Tb Sm
1 3 8
direct
0.0000 0.0000 0.0000
0.5000 0.2500 0.7500
0.5000 0.7500 0.2500
0.0000 0.5000 0.5000
0.7453 0.1277 0.1277
0.0000 0.2348 0.7244
0.0000 0.6177 0.8723
0.4896 0.7652 0.7652
0.2547 0.3823 0.3823
0.0000 0.7244 0.2348
0.5104 0.2756 0.2756
0.0000 0.8723 0.6177
```

Entry 2:
This record from the Alexandria database describes crystalline PmNd2YAs4 at its relaxed geometry. The functional is PBE.

Results
Fermi-level density of states ... 0.7 states/eV/f.u.
Electronic total energy ... -51.53 eV per cell
ΔE_f ... -1.523 eV per atom

Cell and atoms, written as POSCAR:
```
PmNd2YAs4
1.0
-2.4964 0.5688 3.3682
2.2003 -6.4329 2.7170
4.4385 5.3063 2.3936
Nd Y As Pm
2 1 4 1
direct
0.0000 0.5000 0.5000
0.5000 0.0000 0.5000
0.0000 0.0000 0.0000
0.5000 0.2449 0.2436
0.0000 0.2485 0.7542
0.5000 0.7551 0.7564
0.0000 0.7515 0.2458
0.5000 0.5000 0.0000
```